The following is a DFT calculation (PBE) of crystalline Cd2InAu at its relaxed geometry.

Properties
Energy of formation from the pure elements in eV/atom: -0.061
Total DFT energy (no corrections) in eV per atom: -2.0229
Total magnetic moment in μB per atom: 0.00
Mass density in Mg/m³: 9.900
DOS(E_F) in states/eV/cell: 1.4

abc: 3.2742 3.2742 8.3958
angles: 90.00 90.00 90.00
Space group P4/mmm (No. 123)
One atom of each set of equivalent atoms:
Cd 0.0000 0.0000 0.2181 x2
In 0.5000 0.5000 0.5000 x1
Au 0.5000 0.5000 0.0000 x1


The following is a DFT calculation (PBE) of crystalline CdIn2Au4 at its relaxed geometry.

Properties
Energy of formation from the pure elements in eV/atom: -0.097
Total DFT energy (no corrections) in eV per atom: -2.8829
ΔE to the lowest computed polymorph in meV/atom: 51
Total magnetic moment in μB per atom: 0.00
Mass density in Mg/m³: 12.515
DOS(E_F) in states/eV/cell: 6.0

abc: 4.6765 4.6765 23.7477
angles: 90.00 90.00 120.00
Space group R-3m (No. 166, hexagonal axes)
One atom of each set of equivalent atoms:
Cd 0.0000 0.0000 0.0000 x3
In 0.0000 0.0000 0.2435 x6
Au 0.0000 0.0000 0.1261 x6
Au 0.0000 0.0000 0.3788 x6


The following is a DFT calculation (PBE) of crystalline Cd12In2Au at its relaxed geometry.

Properties
Energy of formation from the pure elements in eV/atom: 0.021
Total DFT energy (no corrections) in eV per atom: -1.2943
Total magnetic moment in μB per atom: 0.00
Mass density in Mg/m³: 7.921
DOS(E_F) in states/eV/cell: 10.6

abc: 6.0099 6.0099 20.6110
angles: 90.00 90.00 90.00
Space group P4/nbm (No. 125, origin choice 2)
One atom of each set of equivalent atoms:
Cd 0.0013 0.5013 0.0931 x8
Cd 0.0748 0.5748 0.5659 x8
Cd 0.2500 0.2500 0.1978 x4
Cd 0.2500 0.2500 0.3345 x4
In 0.2500 0.7500 0.2605 x4
Au 0.2500 0.7500 0.0000 x2


The following is a DFT calculation (PBE) of crystalline Cd2InAu at its relaxed geometry.

Properties
Energy of formation from the pure elements in eV/atom: -0.068
Total DFT energy (no corrections) in eV per atom: -2.0298
Total magnetic moment in μB per atom: 0.00
Mass density in Mg/m³: 10.123
DOS(E_F) in states/eV/cell: 0.6

abc: 3.7200 4.0822 5.7967
angles: 90.00 90.70 90.00
Space group P2/m (No. 10)
One atom of each set of equivalent atoms:
Cd 0.0044 0.0000 0.2574 x2
In 0.5000 0.5000 0.0000 x1
Au 0.5000 0.5000 0.5000 x1


The following is a DFT calculation (PBE) of crystalline Cd3InAu3 at its relaxed geometry.

Properties
Energy of formation from the pure elements in eV/atom: -0.140
Total DFT energy (no corrections) in eV per atom: -2.3285
ΔE to the lowest computed polymorph in meV/atom: 0
Total magnetic moment in μB per atom: 0.00
Mass density in Mg/m³: 11.613
DOS(E_F) in states/eV/cell: 7.6

abc: 9.3894 9.4161 6.7469
angles: 90.00 90.00 90.00
Space group Cmmm (No. 65)
One atom of each set of equivalent atoms:
Cd 0.0000 0.2387 0.0000 x4
Cd 0.2293 0.0000 0.5000 x4
Cd 0.2374 0.0000 0.0000 x4
In 0.0000 0.2330 0.5000 x4
Au 0.0000 0.5000 0.2642 x4
Au 0.2500 0.2500 0.2476 x8


The following is a DFT calculation (PBE) of crystalline CdInAu3 at its relaxed geometry.

Properties
Energy of formation from the pure elements in eV/atom: -0.131
Total DFT energy (no corrections) in eV per atom: -2.8281
ΔE to the lowest computed polymorph in meV/atom: 0
Total magnetic moment in μB per atom: 0.00
Mass density in Mg/m³: 13.938
DOS(E_F) in states/eV/cell: 1.2

abc: 4.1285 5.2352 5.3169
angles: 81.65 67.34 66.80
Space group P1 (No. 1)
One atom of each set of equivalent atoms:
Cd 0.0000 0.0000 0.0000 x1
In 0.8397 0.7484 0.5738 x1
Au 0.2151 0.1632 0.4047 x1
Au 0.4187 0.3718 0.7912 x1
Au 0.6231 0.5894 0.1655 x1


The following is a DFT calculation (PBE) of crystalline Cd5In2Au3 at its relaxed geometry.

Properties
Energy of formation from the pure elements in eV/atom: -0.116
Total DFT energy (no corrections) in eV per atom: -2.1044
Total magnetic moment in μB per atom: 0.00
Mass density in Mg/m³: 10.079
DOS(E_F) in states/eV/cell: 11.4

abc: 4.2453 29.6151 7.2468
angles: 90.00 90.00 90.00
Space group Cmc2_1 (No. 36)
One atom of each set of equivalent atoms:
Cd 0.0000 0.0545 0.0000 x4
Cd 0.0000 0.1295 0.5694 x4
Cd 0.0000 0.2970 0.2531 x4
Cd 0.0000 0.2996 0.8006 x4
Cd 0.0000 0.4015 0.7757 x4
In 0.0000 0.1647 0.0342 x4
In 0.0000 0.4785 0.1751 x4
Au 0.0000 0.0384 0.4006 x4
Au 0.0000 0.2295 0.5261 x4
Au 0.0000 0.3910 0.3453 x4


The following is a DFT calculation (PBE) of crystalline CdInAu at its relaxed geometry.

Properties
Energy of formation from the pure elements in eV/atom: -0.103
Total DFT energy (no corrections) in eV per atom: -2.4138
Total magnetic moment in μB per atom: 0.00
Mass density in Mg/m³: 10.776
DOS(E_F) in states/eV/cell: 2.6

abc: 3.8951 3.8951 8.6171
angles: 90.00 90.00 90.00
Space group I4mm (No. 107)
One atom of each set of equivalent atoms:
Cd 0.0000 0.0000 0.0000 x2
In 0.0000 0.0000 0.6704 x2
Au 0.0000 0.0000 0.3349 x2


The following is a DFT calculation (PBE) of crystalline CdInAu3 at its relaxed geometry.

Properties
Energy of formation from the pure elements in eV/atom: -0.119
Total DFT energy (no corrections) in eV per atom: -2.8161
ΔE to the lowest computed polymorph in meV/atom: 12
Total magnetic moment in μB per atom: 0.00
Mass density in Mg/m³: 13.556
DOS(E_F) in states/eV/cell: 2.2

abc: 6.5875 4.1563 7.3487
angles: 90.00 95.03 90.00
Space group P2_1/m (No. 11)
One atom of each set of equivalent atoms:
Cd 0.2171 0.2500 0.2720 x2
In 0.4294 0.2500 0.8411 x2
Au 0.0547 0.2500 0.6387 x2
Au 0.1618 0.7500 0.9904 x2
Au 0.3634 0.7500 0.5591 x2


The following is a DFT calculation (PBE) of crystalline CdInAu2 at its relaxed geometry.

Properties
Energy of formation from the pure elements in eV/atom: -0.035
Total DFT energy (no corrections) in eV per atom: -2.5870
Total magnetic moment in μB per atom: 0.00
Mass density in Mg/m³: 11.601
DOS(E_F) in states/eV/cell: 4.5

abc: 7.9245 7.9245 5.6631
angles: 90.00 90.00 90.00
Space group I-42d (No. 122)
One atom of each set of equivalent atoms:
Cd 0.0000 0.0000 0.0000 x4
In 0.0000 0.0000 0.5000 x4
Au 0.2471 0.7500 0.6250 x8


The following is a DFT calculation (PBE) of crystalline CdIn2Au8 at its relaxed geometry.

Properties
Energy of formation from the pure elements in eV/atom: -0.119
Total DFT energy (no corrections) in eV per atom: -3.0831
ΔE to the lowest computed polymorph in meV/atom: 0
Total magnetic moment in μB per atom: 0.00
Mass density in Mg/m³: 14.596
DOS(E_F) in states/eV/cell: 7.5

abc: 4.0643 8.7039 12.3348
angles: 90.00 90.00 90.00
Space group Immm (No. 71)
One atom of each set of equivalent atoms:
Cd 0.0000 0.0000 0.0000 x2
In 0.0000 0.0000 0.3564 x4
Au 0.0000 0.2540 0.1642 x8
Au 0.0000 0.2556 0.5000 x4
Au 0.0000 0.5000 0.3239 x4


The following is a DFT calculation (PBE) of crystalline Cd14InAu at its relaxed geometry.

Properties
Energy of formation from the pure elements in eV/atom: -0.011
Total DFT energy (no corrections) in eV per atom: -1.1874
Total magnetic moment in μB per atom: 0.00
Mass density in Mg/m³: 8.751
DOS(E_F) in states/eV/cell: 3.8

abc: 6.4038 6.4038 8.7246
angles: 90.00 90.00 90.00
Space group P4/mmm (No. 123)
One atom of each set of equivalent atoms:
Cd 0.0000 0.0000 0.0000 x1
Cd 0.0000 0.5000 0.0000 x2
Cd 0.0000 0.5000 0.5000 x2
Cd 0.2445 0.2445 0.2524 x8
Cd 0.5000 0.5000 0.0000 x1
In 0.5000 0.5000 0.5000 x1
Au 0.0000 0.0000 0.5000 x1


Question: The highest mass density belongs to which entry?
Answer: CdIn2Au8


Question: Look up the mass density of the first one.
Answer: 9.900 Mg/m³


Question: Which of these has the highest mass density?
Answer: CdIn2Au8